Material: GaIrO2F
Method: DFT, SCAN
State: single point on PBEsol structure

```
GaIrO2F
1.0
-0.262 3.365 -1.424
-2.860 -1.194 -2.296
-2.573 0.948 2.713
Ir O Ga F
1 2 1 1
direct
0.500 0.500 0.500
0.000 0.000 0.500
0.000 0.500 0.000
0.000 0.000 0.000
0.500 0.000 0.000
```

The formation energy (no corrections) comes out at -0.49 eV/atom. The space-group type is P4/mmm, No. 123.

***

Material: Rb3MnS
Method: DFT, SCAN
State: single point on PBEsol structure

```
Rb3MnS
1.0
-2.959 -3.910 -3.969
1.981 -4.939 3.389
-5.208 0.343 3.544
S Rb Mn
1 3 1
direct
0.000 0.000 0.000
0.000 0.000 0.500
0.500 0.000 0.000
0.000 0.500 0.000
0.500 0.500 0.500
```

The formation energy (no corrections) comes out at -0.22 eV/atom. The space-group type is Pm-3m, No. 221.

***

Material: Pt3Au
Method: DFT, SCAN
State: single point on PBEsol structure

```
Pt3Au
1.0
-2.355 -1.320 -0.645
3.410 -3.407 0.498
-1.459 0.340 4.627
Pt Au
3 1
direct
0.500 0.000 0.500
0.752 0.505 0.255
0.248 0.495 0.745
0.000 0.000 0.000
```

The value obtained for the formation enthalpy at 0 K is 0.0940 eV per atom. The space-group type is C2/m, No. 12.

***

Material: ZrGaC3
Method: DFT, SCAN
State: single point on PBEsol structure

```
ZrGaC3
1.0
3.867 0.000 0.000
0.000 3.867 0.000
0.000 0.000 3.867
Ga Zr C
1 1 3
direct
0.000 0.000 0.000
0.500 0.500 0.500
0.500 0.000 0.000
0.000 0.500 0.000
0.000 0.000 0.500
```

The value obtained for the formation enthalpy at 0 K is 1.7862 eV per atom. The space-group type is Pm-3m, No. 221.

***

Material: FeOs
Method: DFT, SCAN
State: single point on PBEsol structure

```
FeOs
1.0
-0.817 -2.401 0.578
3.663 -1.025 0.921
-0.339 2.526 4.161
Fe Os
2 2
direct
0.564 0.750 0.129
0.436 0.250 0.871
0.168 0.250 0.336
0.832 0.750 0.664
```

The value obtained for the formation enthalpy at 0 K is 0.2347 eV per atom. The space-group type is Cmcm, No. 63.

***

Material: Cs3BP
Method: DFT, SCAN
State: single point on PBEsol structure

```
Cs3BP
1.0
6.651 0.000 0.000
0.000 6.651 0.000
0.000 0.000 6.651
Cs P B
3 1 1
direct
0.500 0.000 0.000
0.000 0.500 0.000
0.000 0.000 0.500
0.000 0.000 0.000
0.500 0.500 0.500
```

The value obtained for the formation enthalpy at 0 K is 0.9024 eV per atom. The space-group type is Pm-3m, No. 221.

***

Material: RbCuPO4
Method: DFT, SCAN
State: single point on PBEsol structure

```
RbCuPO4
1.0
-0.142 3.560 -3.486
-8.904 0.042 0.406
0.332 6.491 6.615
Cu Rb O P
4 4 16 4
direct
0.964 0.635 0.863
0.464 0.135 0.637
0.964 0.865 0.363
0.464 0.365 0.137
0.937 0.328 0.493
0.937 0.172 0.993
0.437 0.672 0.507
0.437 0.828 0.007
0.800 0.045 0.309
0.434 0.151 0.160
0.845 0.414 0.197
0.434 0.349 0.660
0.399 0.330 0.931
0.399 0.170 0.431
0.899 0.830 0.569
0.345 0.586 0.803
0.345 0.914 0.303
0.934 0.849 0.840
0.845 0.086 0.697
0.899 0.670 0.069
0.300 0.955 0.691
0.800 0.455 0.809
0.934 0.651 0.340
0.300 0.545 0.191
0.489 0.068 0.305
0.989 0.568 0.195
0.489 0.432 0.805
0.989 0.932 0.695
```

The formation energy (no corrections) comes out at -2.03 eV/atom. The space-group type is Pna2_1, No. 33.

***

Material: La5Pb
Method: DFT, SCAN
State: single point on PBEsol structure

```
La5Pb
1.0
-0.209 -0.271 3.665
1.951 -5.989 -2.180
7.316 4.478 0.750
La Pb
5 1
direct
0.669 0.339 0.331
0.014 0.027 0.993
0.382 0.764 0.252
0.322 0.644 0.688
0.054 0.109 0.621
0.726 0.451 0.948
```

The value obtained for the formation enthalpy at 0 K is -0.2844 eV per atom. The energy relative to the lowest polymorph listed for this composition is 36 meV per atom. The space-group type is Cm, No. 8.